DFT (PBE) results for crystalline Fe3CoNi at its relaxed geometry.

Summary:
total moment = 10.81 Bohr magnetons per cell
ΔH_f (0 K) = 1.12 eV/atom
polymorph energy (0 for the lowest one) = 102.4 kJ per mole of atoms
SG = Pm-3m

Structure (POSCAR):
```
Fe3CoNi
1.0
4.264 0.000 0.000
0.000 4.264 0.000
0.000 0.000 4.264
Fe Co Ni
3 1 1
Direct
0.000 0.000 0.500 Fe
0.000 0.500 0.000 Fe
0.500 0.000 0.000 Fe
0.000 0.000 0.000 Co
0.500 0.500 0.500 Ni
```

---

DFT (PBE) results for crystalline PrAl3Ni at its relaxed geometry.

Summary:
total moment = 0.00 Bohr magnetons per cell
ΔH_f (0 K) = -0.57 eV/atom
polymorph energy (0 for the lowest one) = 0.0 kJ per mole of atoms
SG = Pnma

Structure (POSCAR):
```
PrAl3Ni
1.0
8.281 0.000 0.000
0.000 4.130 0.000
0.000 0.000 10.897
Pr Al Ni
4 12 4
Direct
0.183 0.250 0.010 Pr
0.317 0.750 0.510 Pr
0.683 0.250 0.490 Pr
0.817 0.750 0.990 Pr
0.055 0.250 0.582 Al
0.122 0.750 0.782 Al
0.139 0.750 0.225 Al
0.361 0.250 0.725 Al
0.378 0.250 0.282 Al
0.445 0.750 0.082 Al
0.555 0.250 0.918 Al
0.622 0.750 0.718 Al
0.639 0.750 0.275 Al
0.861 0.250 0.775 Al
0.878 0.250 0.218 Al
0.945 0.750 0.418 Al
0.100 0.250 0.355 Ni
0.400 0.750 0.855 Ni
0.600 0.250 0.145 Ni
0.900 0.750 0.645 Ni
```

---

DFT (PBE) results for crystalline Nd7Sn2Sb2 at its relaxed geometry.

Summary:
total moment = 0.00 Bohr magnetons per cell
SG = Cmmm
energy relative to the elements, uncorrected = -474 meV per atom

Structure (POSCAR):
```
Nd7Sn2Sb2
1.0
4.453 -5.768 0.000
4.453 5.768 0.000
0.000 0.000 7.313
Nd Sn Sb
7 2 2
Direct
0.000 0.000 0.000 Nd
0.000 0.500 0.284 Nd
0.000 0.500 0.716 Nd
0.500 0.000 0.284 Nd
0.500 0.000 0.716 Nd
0.500 0.500 0.260 Nd
0.500 0.500 0.740 Nd
0.177 0.177 0.500 Sn
0.823 0.823 0.500 Sn
0.276 0.724 0.000 Sb
0.724 0.276 0.000 Sb
```

---

DFT (PBE) results for crystalline InRu at its relaxed geometry.

Summary:
total moment = 0.95 Bohr magnetons per cell
ΔH_f (0 K) = 1.45 eV/atom
SG = F-43m

Structure (POSCAR):
```
InRu
1.0
0.000 3.015 3.015
3.015 0.000 3.015
3.015 3.015 0.000
In Ru
1 1
Direct
0.000 0.000 0.000 In
0.250 0.250 0.250 Ru
```